LiThGa2Pd2 | PBE-GGA | relaxed

Unit cell a=4.4305 b=4.4305 c=6.5718 alpha=90.00 beta=90.00 gamma=120.00
Closest atoms and distances in Å follow each position.
Positions (direct):
Pd: 0.3333 0.6667 0.7210  4 Ga 2.57-2.64
Pd: 0.6667 0.3333 0.2790  4 Ga 2.57-2.64
Th: 0.0000 0.0000 0.0000  6 Pd 3.15, 2 Li 3.29, 6 Ga 3.31
Ga: 0.3333 0.6667 0.3186  4 Pd 2.57-2.64, 3 Li 2.82
Ga: 0.6667 0.3333 0.6814  4 Pd 2.57-2.64, 3 Li 2.82
Li: 0.0000 0.0000 0.5000  6 Ga 2.82, 6 Pd 2.94

Computed properties:
The calculation puts the energy of formation at -0.6876 eV/atom. Its space group is P-3m1 (164). As for the total magnetic moment: 0.00 μB per cell.